First-principles (PBE-GGA) data for a relaxed structure of AgIrAu, as listed in Alexandria via LeMat-Bulk.

Space-group type: No. 44
Density (Mg/m³): 16.46
Energy above the most stable polymorph in this dataset (meV/atom): 156.7

a = 5.0259 Å, b = 5.0259 Å, c = 5.0259 Å
α = 148.49°, β = 130.32°, γ = 60.02°
Closest atoms and distances in Å follow each position.
Element x y z (fractional)
Ag 0.0000 0.0000 0.0000  2 Ag 2.73, 5 Au 2.85-2.93, 5 Ir 2.90-2.91
Ir 0.3344 0.3344 0.0000  2 Ir 2.73, 5 Au 2.88-2.94, 5 Ag 2.90-2.91
Au 0.6721 0.6721 0.0000  2 Au 2.73, 5 Ag 2.85-2.93, 5 Ir 2.88-2.94